## Ca4Mg3Si8NiO24 (GGA+U)

Data for crystalline Ca4Mg3Si8NiO24 at its relaxed geometry.

Structure (extended XYZ):
```
40
Lattice="9.0123 0.0000 0.0000 0.0000 5.3189 -0.0147 0.0000 2.5793 9.4811" Properties=species:S:1:pos:R:3 pbc="T T T"
Ca 7.2032 3.9491 4.7332
Ca 2.6969 0.0000 0.0000
Ca 1.8247 1.2897 4.7406
Ca 6.3141 2.6594 -0.0074
Mg 8.1790 0.0000 0.0000
Mg 5.3321 1.2897 4.7406
Mg 0.8312 2.6594 -0.0074
Si 0.8424 4.4336 2.7042
Si 5.3407 3.0692 7.4530
Si 0.8424 3.4646 6.7623
Si 5.3407 4.8290 2.0134
Si 8.1732 6.1221 6.7552
Si 3.6605 2.1740 2.0202
Si 8.1732 1.7761 2.7112
Si 3.6605 5.7243 7.4462
Ni 3.6787 3.9491 4.7332
O 0.7924 4.4310 1.0852
O 5.2979 3.0639 5.8305
O 0.7924 3.4672 8.3812
O 5.2979 4.8343 3.6360
O 8.2205 6.1263 8.3750
O 3.7160 2.1748 3.6419
O 8.2205 1.7719 1.0915
O 3.7160 5.7235 5.8245
O 2.2564 4.7061 3.4208
O 6.7502 3.3293 8.1736
O 2.2564 3.1922 6.0456
O 6.7502 4.5689 1.2928
O 6.7660 5.8616 6.0310
O 2.2533 1.9075 1.3003
O 6.7660 2.0366 3.4355
O 2.2533 5.9907 8.1661
O 0.1486 3.0275 3.3146
O 4.6482 6.9768 8.0431
O 0.1486 4.8707 6.1518
O 4.6482 0.9214 1.4233
O 8.8726 2.2111 6.1618
O 4.3545 3.5815 1.4108
O 8.8726 5.6872 3.3046
O 4.3545 4.3167 8.0556
```

Results
D(E_F), states/eV/f.u.: 0.000
Final energy, eV per atom: -7.284
Total magnetization, μB/f.u.: 1.8